Entry 1:
VASP calculation (PBE) on Cs3Na after structural relaxation.

Cell lengths 5.8072, 9.5280, 14.1952 Å; angles 90.00, 90.00, 107.74 degrees
Last column: nearest neighbours and their distance in Å.
Fractional positions:
Cs (0.3589, 0.7177, 0.4424)  3 Na 4.48-4.77
Cs (0.6411, 0.2823, 0.5576)  3 Na 4.48-4.77
Cs (0.9400, 0.8799, 0.7500)  2 Na 4.46
Cs (0.0600, 0.1201, 0.2500)  2 Na 4.46
Cs (0.3589, 0.7177, 0.0576)  3 Na 4.48-4.77
Cs (0.6411, 0.2823, 0.9424)  3 Na 4.48-4.77
Na (0.7467, 0.4935, 0.2500)  8 Cs 4.46-4.77
Na (0.2533, 0.5065, 0.7500)  8 Cs 4.46-4.77

Entry 2:
VASP calculation (PBE) on LaFeB14 after structural relaxation.

Cell lengths 5.8464, 7.4259, 7.4259 Å; angles 68.69, 66.82, 66.82 degrees
Last column: nearest neighbours and their distance in Å.
Fractional positions:
La (0.2500, 0.3803, 0.1197)  6 B 2.57-2.80
La (0.7500, 0.6197, 0.8803)  6 B 2.57-2.80
Fe (0.5000, 0.0000, 0.5000)  8 B 2.16-2.39
Fe (0.0000, 0.0000, 0.5000)  8 B 2.16-2.39
B (0.6656, 0.3679, 0.3009)  6 B 1.82-1.88
B (0.3344, 0.6321, 0.6991)  6 B 1.82-1.88
B (0.1656, 0.8009, 0.8679)  6 B 1.82-1.88
B (0.8344, 0.1991, 0.1321)  6 B 1.82-1.88
B (0.1318, 0.2323, 0.5042)  3 B 1.73-1.74
B (0.8682, 0.7677, 0.4958)  3 B 1.73-1.74
B (0.6318, 0.0042, 0.7323)  3 B 1.73-1.74
B (0.3682, 0.9958, 0.2677)  3 B 1.73-1.74
B (0.0866, 0.0795, 0.7473)  6 B 1.73-1.88
B (0.9134, 0.9205, 0.2527)  6 B 1.73-1.88
B (0.5866, 0.2473, 0.5795)  6 B 1.73-1.88
B (0.4134, 0.7527, 0.4205)  6 B 1.73-1.88
B (0.7187, 0.6023, 0.2829)  6 B 1.81-1.89
B (0.6039, 0.3977, 0.7171)  6 B 1.81-1.89
B (0.2187, 0.7829, 0.1023)  6 B 1.81-1.89
B (0.1039, 0.2171, 0.8977)  6 B 1.81-1.89
B (0.2813, 0.3977, 0.7171)  6 B 1.81-1.89
B (0.3961, 0.6023, 0.2829)  6 B 1.81-1.89
B (0.7813, 0.2171, 0.8977)  6 B 1.81-1.89
B (0.8961, 0.7829, 0.1023)  6 B 1.81-1.89
B (0.3270, 0.9703, 0.8736)  6 B 1.74-1.87
B (0.1709, 0.0297, 0.1264)  6 B 1.74-1.87
B (0.8270, 0.3736, 0.4703)  6 B 1.74-1.87
B (0.6709, 0.6264, 0.5297)  6 B 1.74-1.87
B (0.6730, 0.0297, 0.1264)  6 B 1.74-1.87
B (0.8291, 0.9703, 0.8736)  6 B 1.74-1.87
B (0.1730, 0.6264, 0.5297)  6 B 1.74-1.87
B (0.3291, 0.3736, 0.4703)  6 B 1.74-1.87

Entry 3:
VASP calculation (PBE) on La2TbPr8 after structural relaxation.

Cell lengths 6.8994, 10.4879, 10.4879 Å; angles 38.68, 59.89, 59.89 degrees
Last column: nearest neighbours and their distance in Å.
Fractional positions:
La (0.5788, 0.8048, 0.8048)  7 Pr 3.44-3.78, 1 Tb 3.80
La (0.4212, 0.1952, 0.1952)  7 Pr 3.44-3.78, 1 Tb 3.80
Tb (0.0000, 0.0000, 0.0000)  4 Pr 3.43, 2 La 3.80
Pr (0.2326, 0.3489, 0.8237)  5 Pr 3.30-3.65, 1 Tb 3.43, 1 La 3.56
Pr (0.7674, 0.1763, 0.6511)  5 Pr 3.30-3.65, 1 Tb 3.43, 1 La 3.56
Pr (0.1690, 0.7563, 0.7563)  5 Pr 3.40-3.56, 4 La 3.44-3.78
Pr (0.8310, 0.2437, 0.2437)  5 Pr 3.40-3.56, 4 La 3.44-3.78
Pr (0.2326, 0.8237, 0.3489)  5 Pr 3.30-3.65, 1 Tb 3.43, 1 La 3.56
Pr (0.7674, 0.6511, 0.1763)  5 Pr 3.30-3.65, 1 Tb 3.43, 1 La 3.56
Pr (0.7332, 0.5909, 0.5909)  8 Pr 3.51-3.87, 1 La 3.77, 2 Tb 3.90
Pr (0.2668, 0.4091, 0.4091)  8 Pr 3.51-3.87, 1 La 3.77, 2 Tb 3.90

no.,total energy (eV/atom),calculated density (Mg/m³)
1,-0.956,1.87
2,-6.827,4.35
3,-4.655,6.46